VASP calculation (meta-GGA SCAN) on a PBEsol-optimized structure of CuTcHg2.

Geometry as POSCAR:
```
CuTcHg2
1.0
2.807 0.000 0.000
0.000 2.807 0.000
0.000 0.000 8.478
Cu Hg Tc
1 2 1
Cartesian
1.403 1.403 6.180
0.000 0.000 8.177
1.403 1.403 2.347
0.000 0.000 4.492
```

Values from the calculation:
* SG: No. 99
* total magnetization: 0.00 μB/cell
* energy of formation: 0.48 eV per atom
* V: 16.70 Å³/atom